(1)
Here is a relaxed Tb3DyEr6 crystal from Alexandria via LeMat-Bulk. Energies are from PBE-GGA.

Computed properties:
The excess energy over the best structure of this formula in the dataset is 27 meV/atom. The calculation puts the calculated formation energy at 0.15 eV/atom. The value obtained for the uncorrected energy is -4.438 eV/atom. As for the space group: Cmc2_1.

Lattice parameters (Å, degrees): 10.8653 10.8653 6.1314 90.00 90.00 119.68
With the nearest neighbours (Å) after each atom.
Fractional coordinates of all 20 atoms:
Tb 0.1089 0.8911 0.5000  5 Er 3.31-3.56, 1 Dy 3.48, 2 Tb 3.66
Tb 0.2199 0.4380 0.1108  1 Dy 3.24, 6 Er 3.25-3.58
Tb 0.4380 0.2199 0.6108  1 Dy 3.24, 6 Er 3.25-3.58
Tb 0.5620 0.7801 0.1108  1 Dy 3.24, 6 Er 3.25-3.58
Tb 0.7801 0.5620 0.6108  1 Dy 3.24, 6 Er 3.25-3.58
Tb 0.8911 0.1089 0.0000  5 Er 3.31-3.56, 1 Dy 3.48, 2 Tb 3.66
Dy 0.2921 0.7079 0.4194  7 Er 3.24-3.43, 3 Tb 3.24-3.48
Dy 0.7079 0.2921 0.9194  7 Er 3.24-3.43, 3 Tb 3.24-3.48
Er 0.0400 0.4611 0.7052  5 Er 3.22-3.41, 2 Dy 3.24-3.40, 2 Tb 3.25-3.55
Er 0.1171 0.2119 0.5355  4 Tb 3.37-3.56, 6 Er 3.37-3.73
Er 0.2119 0.1171 0.0355  4 Tb 3.37-3.56, 6 Er 3.37-3.73
Er 0.2162 0.7838 0.9279  4 Er 3.22-3.34, 1 Tb 3.31, 2 Dy 3.33-3.43
Er 0.4523 0.5477 0.6490  1 Dy 3.32, 4 Tb 3.50-3.58, 2 Er 3.55
Er 0.4611 0.0400 0.2052  5 Er 3.22-3.41, 2 Dy 3.24-3.40, 2 Tb 3.25-3.55
Er 0.5389 0.9600 0.7052  5 Er 3.22-3.41, 2 Dy 3.24-3.40, 2 Tb 3.25-3.55
Er 0.5477 0.4523 0.1490  1 Dy 3.32, 4 Tb 3.50-3.58, 2 Er 3.55
Er 0.7838 0.2162 0.4279  4 Er 3.22-3.34, 1 Tb 3.31, 2 Dy 3.33-3.43
Er 0.7881 0.8829 0.5355  4 Tb 3.37-3.56, 6 Er 3.37-3.73
Er 0.8829 0.7881 0.0355  4 Tb 3.37-3.56, 6 Er 3.37-3.73
Er 0.9600 0.5389 0.2052  5 Er 3.22-3.41, 2 Dy 3.24-3.40, 2 Tb 3.25-3.55



(2)
Here is a relaxed Tb10DyEr4 crystal from Alexandria via LeMat-Bulk. Energies are from PBE-GGA.

Computed properties:
The calculation puts the calculated formation energy at 0.72 eV/atom. The value obtained for the uncorrected energy is -3.890 eV/atom. As for the space group: I4/m.

Lattice parameters (Å, degrees): 9.3632 9.3632 9.3632 99.59 99.59 131.81
With the nearest neighbours (Å) after each atom.
Fractional coordinates of all 15 atoms:
Tb 0.0497 0.1505 0.6997  3 Er 3.31, 1 Dy 3.32
Tb 0.1505 0.4508 0.1008  3 Er 3.31, 1 Dy 3.32
Tb 0.2500 0.7500 0.5000  4 Er 3.31
Tb 0.3500 0.0497 0.8992  3 Er 3.31, 1 Dy 3.32
Tb 0.4508 0.3500 0.3003  3 Er 3.31, 1 Dy 3.32
Tb 0.5492 0.6500 0.6997  3 Er 3.31, 1 Dy 3.32
Tb 0.6500 0.9503 0.1008  3 Er 3.31, 1 Dy 3.32
Tb 0.7500 0.2500 0.5000  4 Er 3.31
Tb 0.8495 0.5492 0.8992  3 Er 3.31, 1 Dy 3.32
Tb 0.9503 0.8495 0.3003  3 Er 3.31, 1 Dy 3.32
Dy 0.0000 0.0000 0.0000  8 Tb 3.32
Er 0.2002 0.6003 0.8005  8 Tb 3.31
Er 0.3997 0.2002 0.6000  8 Tb 3.31
Er 0.6003 0.7998 0.4000  8 Tb 3.31
Er 0.7998 0.3997 0.1995  8 Tb 3.31



(3)
Here is a relaxed Tb4Dy2Er crystal from Alexandria via LeMat-Bulk. Energies are from PBE-GGA.

Computed properties:
The excess energy over the best structure of this formula in the dataset is 0 meV/atom. The calculation puts the calculated formation energy at 0.04 eV/atom. The value obtained for the uncorrected energy is -4.572 eV/atom. As for the space group: C2/m.

Lattice parameters (Å, degrees): 8.5361 8.5361 8.6932 118.98 118.98 23.76
With the nearest neighbours (Å) after each atom.
Fractional coordinates of all 7 atoms:
Tb 0.1406 0.1406 0.3370  7 Tb 3.51-3.77, 4 Dy 3.58-3.59, 2 Er 3.73
Tb 0.2038 0.2038 0.7934  3 Dy 3.32-3.48, 5 Tb 3.51-3.59, 2 Er 3.55
Tb 0.7962 0.7962 0.2066  3 Dy 3.32-3.48, 5 Tb 3.51-3.59, 2 Er 3.55
Tb 0.8594 0.8594 0.6630  7 Tb 3.51-3.77, 4 Dy 3.58-3.59, 2 Er 3.73
Dy 0.4297 0.4297 0.0701  1 Dy 3.14, 1 Er 3.32, 3 Tb 3.32-3.48
Dy 0.5703 0.5703 0.9299  1 Dy 3.14, 1 Er 3.32, 3 Tb 3.32-3.48
Er 0.5000 0.5000 0.5000  2 Dy 3.32, 2 Er 3.51, 4 Tb 3.55



(4)
Here is a relaxed Tb6Dy2Er crystal from Alexandria via LeMat-Bulk. Energies are from PBE-GGA.

Computed properties:
The excess energy over the best structure of this formula in the dataset is 0 meV/atom. The calculation puts the calculated formation energy at 0.02 eV/atom. The value obtained for the uncorrected energy is -4.601 eV/atom. As for the space group: P-1.

Lattice parameters (Å, degrees): 3.5455 8.6733 9.3707 90.01 100.86 90.06
With the nearest neighbours (Å) after each atom.
Fractional coordinates of all 9 atoms:
Tb 0.1113 0.1666 0.2215  4 Dy 3.53-3.55, 1 Er 3.54, 7 Tb 3.54-3.55
Tb 0.2217 0.8331 0.4440  10 Tb 3.54-3.55, 2 Dy 3.54-3.55
Tb 0.3339 0.5000 0.6677  2 Er 3.53-3.54, 1 Dy 3.54, 9 Tb 3.54-3.56
Tb 0.6661 0.5000 0.3323  2 Er 3.53-3.54, 1 Dy 3.54, 9 Tb 3.54-3.56
Tb 0.7783 0.1669 0.5560  10 Tb 3.54-3.55, 2 Dy 3.54-3.55
Tb 0.8887 0.8334 0.7785  4 Dy 3.53-3.55, 1 Er 3.54, 7 Tb 3.54-3.55
Dy 0.4449 0.1673 0.8895  7 Tb 3.53-3.55, 2 Er 3.53-3.54, 3 Dy 3.54-3.55
Dy 0.5551 0.8327 0.1105  7 Tb 3.53-3.55, 2 Er 3.53-3.54, 3 Dy 3.54-3.55
Er 0.0000 0.5000 0.0000  6 Tb 3.53-3.54, 4 Dy 3.53-3.54, 2 Er 3.55



(5)
Here is a relaxed Tb3Dy4Er4 crystal from Alexandria via LeMat-Bulk. Energies are from PBE-GGA.

Computed properties:
The excess energy over the best structure of this formula in the dataset is 0 meV/atom. The calculation puts the calculated formation energy at 0.06 eV/atom. The value obtained for the uncorrected energy is -4.537 eV/atom. As for the space group: P-1.

Lattice parameters (Å, degrees): 3.4685 5.5657 17.9798 98.90 95.52 90.00
With the nearest neighbours (Å) after each atom.
Fractional coordinates of all 11 atoms:
Tb 0.0000 0.0000 0.0000  2 Tb 3.47, 4 Er 3.64-3.65, 8 Dy 3.66
Tb 0.1366 0.6372 0.2738  2 Tb 3.47, 6 Dy 3.63-3.66, 6 Er 3.66-3.83
Tb 0.8634 0.3628 0.7262  2 Tb 3.47, 6 Dy 3.63-3.66, 6 Er 3.66-3.83
Dy 0.3197 0.8190 0.6385  5 Er 3.18-3.50, 2 Dy 3.47
Dy 0.4544 0.4535 0.9083  2 Er 3.20, 3 Dy 3.24-3.47
Dy 0.5456 0.5465 0.0917  2 Er 3.20, 3 Dy 3.24-3.47
Dy 0.6803 0.1810 0.3615  5 Er 3.18-3.50, 2 Dy 3.47
Er 0.2663 0.2665 0.5331  4 Dy 3.35-3.50, 6 Er 3.47-3.48
Er 0.4093 0.9087 0.8187  3 Dy 3.18-3.20, 2 Er 3.47
Er 0.5907 0.0913 0.1813  3 Dy 3.18-3.20, 2 Er 3.47
Er 0.7337 0.7335 0.4669  4 Dy 3.35-3.50, 6 Er 3.47-3.48



(6)
Here is a relaxed Tb2Dy2Er crystal from Alexandria via LeMat-Bulk. Energies are from PBE-GGA.

Computed properties:
The excess energy over the best structure of this formula in the dataset is 42 meV/atom. The calculation puts the calculated formation energy at 0.14 eV/atom. The value obtained for the uncorrected energy is -4.466 eV/atom. As for the space group: Imma.

Lattice parameters (Å, degrees): 16.0823 16.0823 16.0823 167.22 159.81 23.97
With the nearest neighbours (Å) after each atom.
Fractional coordinates of all 10 atoms:
Tb 0.2719 0.0219 0.2500  3 Tb 3.10-3.14
Tb 0.3703 0.1203 0.2500  1 Tb 3.10, 2 Dy 3.29
Tb 0.6297 0.8797 0.7500  1 Tb 3.10, 2 Dy 3.29
Tb 0.7281 0.9781 0.7500  3 Tb 3.10-3.14
Dy 0.0567 0.8067 0.2500  6 Dy 3.37-3.58, 2 Tb 3.64
Dy 0.4579 0.7079 0.7500  6 Dy 3.20-3.37, 2 Tb 3.29
Dy 0.5421 0.2921 0.2500  6 Dy 3.20-3.37, 2 Tb 3.29
Dy 0.9433 0.1933 0.7500  6 Dy 3.37-3.58, 2 Tb 3.64
Er 0.1716 0.4216 0.7500  2 Er 3.58, 10 Tb 3.59-3.78
Er 0.8284 0.5784 0.2500  2 Er 3.58, 10 Tb 3.59-3.78



(7)
Here is a relaxed TbDy4Er5 crystal from Alexandria via LeMat-Bulk. Energies are from PBE-GGA.

Computed properties:
The excess energy over the best structure of this formula in the dataset is 249 meV/atom. The calculation puts the calculated formation energy at 0.31 eV/atom. The value obtained for the uncorrected energy is -4.277 eV/atom. As for the space group: I4.

Lattice parameters (Å, degrees): 7.8024 7.8024 7.8024 99.15 99.15 133.00
With the nearest neighbours (Å) after each atom.
Fractional coordinates of all 10 atoms:
Tb 0.0000 0.0000 0.0000  1 Er 2.86
Dy 0.1167 0.8178 0.3949  4 Er 3.20-3.47, 1 Dy 3.25
Dy 0.4229 0.7218 0.6051  4 Er 3.20-3.47, 1 Dy 3.25
Dy 0.7218 0.1167 0.2989  4 Er 3.20-3.47, 1 Dy 3.25
Dy 0.8178 0.4229 0.7011  4 Er 3.20-3.47, 1 Dy 3.25
Er 0.0394 0.1254 0.6226  4 Dy 3.20-3.47, 1 Er 3.24, 1 Tb 3.24
Er 0.1254 0.5028 0.0860  4 Dy 3.20-3.47, 1 Er 3.24, 1 Tb 3.24
Er 0.4168 0.0394 0.9140  4 Dy 3.20-3.47, 1 Er 3.24, 1 Tb 3.24
Er 0.5028 0.4168 0.3774  4 Dy 3.20-3.47, 1 Er 3.24, 1 Tb 3.24
Er 0.5400 0.5400 0.0000  1 Tb 2.86



(8)
Here is a relaxed Tb5Dy6Er crystal from Alexandria via LeMat-Bulk. Energies are from PBE-GGA.

Computed properties:
The excess energy over the best structure of this formula in the dataset is 0 meV/atom. The calculation puts the calculated formation energy at 0.02 eV/atom. The value obtained for the uncorrected energy is -4.595 eV/atom. As for the space group: C2/m.

Lattice parameters (Å, degrees): 6.1266 6.1266 11.7280 94.96 94.96 119.95
With the nearest neighbours (Å) after each atom.
Fractional coordinates of all 12 atoms:
Tb 0.0000 0.0000 0.0000  6 Tb 3.54, 6 Dy 3.54
Tb 0.1667 0.8333 0.5000  6 Dy 3.53, 3 Er 3.54, 3 Tb 3.54
Tb 0.3335 0.6665 0.0000  6 Tb 3.53-3.54, 6 Dy 3.54
Tb 0.6665 0.3335 0.0000  6 Tb 3.53-3.54, 6 Dy 3.54
Tb 0.8333 0.1667 0.5000  6 Dy 3.53, 3 Er 3.54, 3 Tb 3.54
Dy 0.0838 0.4169 0.2505  5 Tb 3.53-3.54, 1 Er 3.53, 6 Dy 3.53-3.54
Dy 0.2500 0.2500 0.7495  1 Er 3.53, 5 Tb 3.53-3.54, 6 Dy 3.54
Dy 0.4169 0.0838 0.2505  5 Tb 3.53-3.54, 1 Er 3.53, 6 Dy 3.53-3.54
Dy 0.5831 0.9162 0.7495  5 Tb 3.53-3.54, 1 Er 3.53, 6 Dy 3.53-3.54
Dy 0.7500 0.7500 0.2505  1 Er 3.53, 5 Tb 3.53-3.54, 6 Dy 3.54
Dy 0.9162 0.5831 0.7495  5 Tb 3.53-3.54, 1 Er 3.53, 6 Dy 3.53-3.54
Er 0.5000 0.5000 0.5000  6 Dy 3.53, 6 Tb 3.54



(9)
Here is a relaxed Tb6DyEr5 crystal from Alexandria via LeMat-Bulk. Energies are from PBE-GGA.

Computed properties:
The calculation puts the calculated formation energy at 0.02 eV/atom. The value obtained for the uncorrected energy is -4.581 eV/atom. As for the space group: Immm.

Lattice parameters (Å, degrees): 9.3408 9.3408 9.3408 149.06 115.48 73.27
With the nearest neighbours (Å) after each atom.
Fractional coordinates of all 12 atoms:
Tb 0.0830 0.3333 0.7497  7 Er 3.52-3.53, 4 Tb 3.53, 1 Dy 3.53
Tb 0.2495 0.0000 0.2495  6 Er 3.52-3.53, 2 Dy 3.53, 4 Tb 3.53
Tb 0.4164 0.6667 0.7497  7 Er 3.52-3.53, 4 Tb 3.53, 1 Dy 3.53
Tb 0.5836 0.3333 0.2503  7 Er 3.52-3.53, 4 Tb 3.53, 1 Dy 3.53
Tb 0.7505 0.0000 0.7505  6 Er 3.52-3.53, 2 Dy 3.53, 4 Tb 3.53
Tb 0.9170 0.6667 0.2503  7 Er 3.52-3.53, 4 Tb 3.53, 1 Dy 3.53
Dy 0.5000 0.5000 0.0000  8 Tb 3.53, 4 Er 3.53
Er 0.0000 0.5000 0.5000  8 Tb 3.52-3.53, 4 Er 3.53
Er 0.1667 0.1667 0.0000  8 Tb 3.52-3.53, 4 Er 3.53
Er 0.3332 0.8332 0.5000  8 Tb 3.53, 2 Er 3.53, 2 Dy 3.53
Er 0.6668 0.1668 0.5000  8 Tb 3.53, 2 Er 3.53, 2 Dy 3.53
Er 0.8333 0.8333 0.0000  8 Tb 3.52-3.53, 4 Er 3.53



(10)
Here is a relaxed Tb2Dy7Er crystal from Alexandria via LeMat-Bulk. Energies are from PBE-GGA.

Computed properties:
The excess energy over the best structure of this formula in the dataset is 0 meV/atom. The calculation puts the calculated formation energy at 0.02 eV/atom. The value obtained for the uncorrected energy is -4.586 eV/atom. As for the space group: P-1.

Lattice parameters (Å, degrees): 6.1123 6.1232 9.3501 102.62 108.98 99.67
With the nearest neighbours (Å) after each atom.
Fractional coordinates of all 10 atoms:
Tb 0.1000 0.0007 0.2003  10 Dy 3.53-3.54, 1 Er 3.53, 1 Tb 3.54
Tb 0.9000 0.9993 0.7997  10 Dy 3.53-3.54, 1 Er 3.53, 1 Tb 3.54
Dy 0.0998 0.4997 0.6995  2 Er 3.53, 8 Dy 3.53-3.54, 2 Tb 3.53-3.54
Dy 0.3002 0.0001 0.5997  7 Dy 3.52-3.54, 3 Tb 3.53, 2 Er 3.53
Dy 0.3002 0.5006 0.1002  8 Dy 3.53-3.54, 3 Tb 3.53-3.54, 1 Er 3.54
Dy 0.5000 0.0000 0.0000  8 Dy 3.53-3.54, 4 Tb 3.53
Dy 0.6998 0.9999 0.4003  7 Dy 3.52-3.54, 3 Tb 3.53, 2 Er 3.53
Dy 0.6998 0.4994 0.8998  8 Dy 3.53-3.54, 3 Tb 3.53-3.54, 1 Er 3.54
Dy 0.9002 0.5003 0.3005  2 Er 3.53, 8 Dy 3.53-3.54, 2 Tb 3.53-3.54
Er 0.5000 0.5000 0.5000  10 Dy 3.53-3.54, 2 Tb 3.53



(11)
Here is a relaxed Tb3DyEr5 crystal from Alexandria via LeMat-Bulk. Energies are from PBE-GGA.

Computed properties:
The excess energy over the best structure of this formula in the dataset is 0 meV/atom. The calculation puts the calculated formation energy at 0.20 eV/atom. The value obtained for the uncorrected energy is -4.389 eV/atom. As for the space group: C2/c.

Lattice parameters (Å, degrees): 7.6584 7.6584 11.4626 111.88 111.88 79.66
With the nearest neighbours (Å) after each atom.
Fractional coordinates of all 18 atoms:
Tb 0.0000 0.0000 0.0000  2 Dy 3.41, 6 Er 3.42-3.50, 2 Tb 3.43
Tb 0.0000 0.0000 0.5000  2 Dy 3.41, 6 Er 3.42-3.50, 2 Tb 3.43
Tb 0.3326 0.3339 0.6665  7 Er 3.40-3.51, 2 Tb 3.43, 1 Dy 3.51
Tb 0.3339 0.3326 0.1665  7 Er 3.40-3.51, 2 Tb 3.43, 1 Dy 3.51
Tb 0.6661 0.6674 0.8335  7 Er 3.40-3.51, 2 Tb 3.43, 1 Dy 3.51
Tb 0.6674 0.6661 0.3335  7 Er 3.40-3.51, 2 Tb 3.43, 1 Dy 3.51
Dy 0.1876 0.8124 0.7500  4 Tb 3.41-3.51, 7 Er 3.44-3.71
Dy 0.8124 0.1876 0.2500  4 Tb 3.41-3.51, 7 Er 3.44-3.71
Er 0.1431 0.5219 0.9161  4 Tb 3.41-3.50, 6 Er 3.42-3.70, 1 Dy 3.55
Er 0.1465 0.5225 0.4173  4 Tb 3.40-3.51, 5 Er 3.42-3.70, 2 Dy 3.44-3.55
Er 0.1905 0.8095 0.2500  6 Er 3.42-3.55, 4 Tb 3.42-3.49, 1 Dy 3.71
Er 0.4775 0.8535 0.0827  4 Tb 3.40-3.51, 5 Er 3.42-3.70, 2 Dy 3.44-3.55
Er 0.4781 0.8569 0.5839  4 Tb 3.41-3.50, 6 Er 3.42-3.70, 1 Dy 3.55
Er 0.5219 0.1431 0.4161  4 Tb 3.41-3.50, 6 Er 3.42-3.70, 1 Dy 3.55
Er 0.5225 0.1465 0.9173  4 Tb 3.40-3.51, 5 Er 3.42-3.70, 2 Dy 3.44-3.55
Er 0.8095 0.1905 0.7500  6 Er 3.42-3.55, 4 Tb 3.42-3.49, 1 Dy 3.71
Er 0.8535 0.4775 0.5827  4 Tb 3.40-3.51, 5 Er 3.42-3.70, 2 Dy 3.44-3.55
Er 0.8569 0.4781 0.0839  4 Tb 3.41-3.50, 6 Er 3.42-3.70, 1 Dy 3.55



(12)
Here is a relaxed Tb8Dy4Er crystal from Alexandria via LeMat-Bulk. Energies are from PBE-GGA.

Computed properties:
The calculation puts the calculated formation energy at 0.49 eV/atom. The value obtained for the uncorrected energy is -4.121 eV/atom. As for the space group: R-3m.

Lattice parameters (Å, degrees): 7.7208 7.7208 7.7208 90.15 90.15 90.15
With the nearest neighbours (Å) after each atom.
Fractional coordinates of all 13 atoms:
Tb 0.2403 0.2403 0.7581  4 Dy 3.22-3.39, 1 Er 3.47
Tb 0.2403 0.7581 0.2403  4 Dy 3.22-3.39, 1 Er 3.47
Tb 0.2406 0.2406 0.2406  4 Dy 3.21-3.39, 1 Er 3.46
Tb 0.2419 0.7597 0.7597  4 Dy 3.22-3.39, 1 Er 3.47
Tb 0.7581 0.2403 0.2403  4 Dy 3.22-3.39, 1 Er 3.47
Tb 0.7594 0.7594 0.7594  4 Dy 3.21-3.39, 1 Er 3.46
Tb 0.7597 0.2419 0.7597  4 Dy 3.22-3.39, 1 Er 3.47
Tb 0.7597 0.7597 0.2419  4 Dy 3.22-3.39, 1 Er 3.47
Dy 0.0000 0.0000 0.0000  8 Tb 3.21-3.22
Dy 0.0000 0.5000 0.5000  8 Tb 3.38-3.39
Dy 0.5000 0.0000 0.5000  8 Tb 3.38-3.39
Dy 0.5000 0.5000 0.0000  8 Tb 3.38-3.39
Er 0.5000 0.5000 0.5000  8 Tb 3.46-3.47, 6 Dy 3.86